# 1
The following is a PBE calculation of crystalline PrTmGa2Ru2 at its relaxed geometry, from Alexandria.

Calculated values
Size of the total moment in μB/cell: 0.00
N(E_F) in states/eV per atom: 0.495
Uncorrected energy in eV per atom: -6.102
ΔH_f (0 K) in meV/atom: -459
Mass density in g/cm³: 8.851

CIF file:
```
data_PrTmGa2Ru2
_chemical_formula_sum 'Pr1 Tm1 Ga2 Ru2'
_symmetry_space_group_name_H-M 'P -3 m 1'
_symmetry_Int_Tables_number 164
_symmetry_space_group_name_Hall '-P 3 2"'
_cell_length_a 4.3556
_cell_length_b 4.3556
_cell_length_c 7.4388
_cell_angle_alpha 90.00
_cell_angle_beta 90.00
_cell_angle_gamma 120.00
loop_
_atom_site_label
_atom_site_type_symbol
_atom_site_fract_x
_atom_site_fract_y
_atom_site_fract_z
_atom_site_occupancy
Pr1 Pr 0.0000 0.0000 0.0000 1
Tm1 Tm 0.0000 0.0000 0.5000 1
Ga1 Ga 0.3333 0.6667 0.2783 1
Ru1 Ru 0.3333 0.6667 0.7252 1
```

=====

# 2
The following is a PBE calculation of crystalline PrTmGaRu at its relaxed geometry, from Alexandria.

Calculated values
Size of the total moment in μB/cell: 0.00
N(E_F) in states/eV per atom: 0.598
Uncorrected energy in eV per atom: -5.748
ΔH_f (0 K) in meV/atom: -359
Mass density in g/cm³: 8.984
Energy above the lowest structure with this stoichiometry in meV per atom: 65

CIF file:
```
data_PrTmGaRu
_chemical_formula_sum 'Pr4 Tm4 Ga4 Ru4'
_symmetry_space_group_name_H-M 'F -4 3 m'
_symmetry_Int_Tables_number 216
_symmetry_space_group_name_Hall 'F -4 2 3'
_cell_length_a 7.0831
_cell_length_b 7.0831
_cell_length_c 7.0831
_cell_angle_alpha 90.00
_cell_angle_beta 90.00
_cell_angle_gamma 90.00
loop_
_atom_site_label
_atom_site_type_symbol
_atom_site_fract_x
_atom_site_fract_y
_atom_site_fract_z
_atom_site_occupancy
Pr1 Pr 0.0000 0.0000 0.0000 1
Tm1 Tm 0.0000 0.0000 0.5000 1
Ga1 Ga 0.2500 0.2500 0.7500 1
Ru1 Ru 0.2500 0.2500 0.2500 1
```

=====

# 3
The following is a PBE calculation of crystalline PrYGa2Ru2 at its relaxed geometry, from Alexandria.

Calculated values
Size of the total moment in μB/cell: 0.00
N(E_F) in states/eV per atom: 0.501
Uncorrected energy in eV per atom: -6.421
ΔH_f (0 K) in meV/atom: -446
Mass density in g/cm³: 7.595

CIF file:
```
data_PrYGa2Ru2
_chemical_formula_sum 'Pr1 Y1 Ga2 Ru2'
_symmetry_space_group_name_H-M 'P -3 m 1'
_symmetry_Int_Tables_number 164
_symmetry_space_group_name_Hall '-P 3 2"'
_cell_length_a 4.3415
_cell_length_b 4.3415
_cell_length_c 7.6529
_cell_angle_alpha 90.00
_cell_angle_beta 90.00
_cell_angle_gamma 120.00
loop_
_atom_site_label
_atom_site_type_symbol
_atom_site_fract_x
_atom_site_fract_y
_atom_site_fract_z
_atom_site_occupancy
Pr1 Pr 0.0000 0.0000 0.0000 1
Y1 Y 0.0000 0.0000 0.5000 1
Ga1 Ga 0.3333 0.6667 0.2689 1
Ru1 Ru 0.3333 0.6667 0.7377 1
```

=====

# 4
The following is a PBE calculation of crystalline PrZnGaRu at its relaxed geometry, from Alexandria.

Calculated values
Size of the total moment in μB/cell: 0.00
N(E_F) in states/eV per atom: 0.729
Uncorrected energy in eV per atom: -4.899
ΔH_f (0 K) in meV/atom: -310
Mass density in g/cm³: 7.548

CIF file:
```
data_PrZnGaRu
_chemical_formula_sum 'Pr3 Zn3 Ga3 Ru3'
_symmetry_space_group_name_H-M 'R 3 m'
_symmetry_Int_Tables_number 160
_symmetry_space_group_name_Hall 'R 3 -2"'
_cell_length_a 4.2914
_cell_length_b 4.2914
_cell_length_c 15.6051
_cell_angle_alpha 90.00
_cell_angle_beta 90.00
_cell_angle_gamma 120.00
loop_
_atom_site_label
_atom_site_type_symbol
_atom_site_fract_x
_atom_site_fract_y
_atom_site_fract_z
_atom_site_occupancy
Pr1 Pr 0.0000 0.0000 0.0000 1
Zn1 Zn 0.0000 0.0000 0.2058 1
Ga1 Ga 0.0000 0.0000 0.7909 1
Ru1 Ru 0.0000 0.0000 0.4755 1
```

=====

# 5
The following is a PBE calculation of crystalline Pr2ZnGa4Ru3 at its relaxed geometry, from Alexandria.

Calculated values
Size of the total moment in μB/cell: 0.00
N(E_F) in states/eV per atom: 0.581
Uncorrected energy in eV per atom: -5.463
ΔH_f (0 K) in meV/atom: -387
Mass density in g/cm³: 8.144

CIF file:
```
data_Pr2ZnGa4Ru3
_chemical_formula_sum 'Pr2 Zn1 Ga4 Ru3'
_symmetry_space_group_name_H-M 'P -4 m 2'
_symmetry_Int_Tables_number 115
_symmetry_space_group_name_Hall 'P -4 -2'
_cell_length_a 4.1264
_cell_length_b 4.1264
_cell_length_c 11.1278
_cell_angle_alpha 90.00
_cell_angle_beta 90.00
_cell_angle_gamma 90.00
loop_
_atom_site_label
_atom_site_type_symbol
_atom_site_fract_x
_atom_site_fract_y
_atom_site_fract_z
_atom_site_occupancy
Pr1 Pr 0.0000 0.5000 0.2409 1
Zn1 Zn 0.0000 0.0000 0.5000 1
Ga1 Ga 0.0000 0.0000 0.0000 1
Ga2 Ga 0.0000 0.5000 0.6354 1
Ga3 Ga 0.5000 0.5000 0.0000 1
Ru1 Ru 0.0000 0.5000 0.8654 1
Ru2 Ru 0.5000 0.5000 0.5000 1
```

=====

# 6
The following is a PBE calculation of crystalline PrZn2GaRu2 at its relaxed geometry, from Alexandria.

Calculated values
Size of the total moment in μB/cell: 0.00
N(E_F) in states/eV per atom: 0.551
Uncorrected energy in eV per atom: -4.818
ΔH_f (0 K) in meV/atom: -1
Mass density in g/cm³: 7.511

CIF file:
```
data_PrZn2GaRu2
_chemical_formula_sum 'Pr1 Zn2 Ga1 Ru2'
_symmetry_space_group_name_H-M 'P 4/m m m'
_symmetry_Int_Tables_number 123
_symmetry_space_group_name_Hall '-P 4 2'
_cell_length_a 4.6143
_cell_length_b 4.6143
_cell_length_c 5.6446
_cell_angle_alpha 90.00
_cell_angle_beta 90.00
_cell_angle_gamma 90.00
loop_
_atom_site_label
_atom_site_type_symbol
_atom_site_fract_x
_atom_site_fract_y
_atom_site_fract_z
_atom_site_occupancy
Pr1 Pr 0.0000 0.0000 0.0000 1
Zn1 Zn 0.5000 0.5000 0.2555 1
Ga1 Ga 0.0000 0.0000 0.5000 1
Ru1 Ru 0.0000 0.5000 0.5000 1
```

=====

# 7
The following is a PBE calculation of crystalline Pr3Zn2GaRu3 at its relaxed geometry, from Alexandria.

Calculated values
Size of the total moment in μB/cell: 0.00
N(E_F) in states/eV per atom: 0.873
Uncorrected energy in eV per atom: -5.487
ΔH_f (0 K) in meV/atom: -182
Mass density in g/cm³: 8.401

CIF file:
```
data_Pr3Zn2GaRu3
_chemical_formula_sum 'Pr3 Zn2 Ga1 Ru3'
_symmetry_space_group_name_H-M 'P -6 2 m'
_symmetry_Int_Tables_number 189
_symmetry_space_group_name_Hall 'P -6 -2'
_cell_length_a 7.5156
_cell_length_b 7.5156
_cell_length_c 3.7438
_cell_angle_alpha 90.00
_cell_angle_beta 90.00
_cell_angle_gamma 120.00
loop_
_atom_site_label
_atom_site_type_symbol
_atom_site_fract_x
_atom_site_fract_y
_atom_site_fract_z
_atom_site_occupancy
Pr1 Pr 0.0000 0.3844 0.0000 1
Zn1 Zn 0.3333 0.6667 0.5000 1
Ga1 Ga 0.0000 0.0000 0.0000 1
Ru1 Ru 0.0000 0.7549 0.5000 1
```

=====

# 8
The following is a PBE calculation of crystalline Pr7GaS5 at its relaxed geometry, from Alexandria.

Calculated values
Size of the total moment in μB/cell: 0.03
N(E_F) in states/eV per atom: 0.692
Uncorrected energy in eV per atom: -6.040
E_form (uncorrected) in kJ/mol of formula units: -2064
Mass density in g/cm³: 5.903

CIF file:
```
data_Pr7GaS5
_chemical_formula_sum 'Pr28 Ga4 S20'
_symmetry_space_group_name_H-M 'C 1 2/m 1'
_symmetry_Int_Tables_number 12
_symmetry_space_group_name_Hall '-C 2y'
_cell_length_a 13.6107
_cell_length_b 4.0916
_cell_length_c 24.5755
_cell_angle_alpha 90.00
_cell_angle_beta 90.02
_cell_angle_gamma 90.00
loop_
_atom_site_label
_atom_site_type_symbol
_atom_site_fract_x
_atom_site_fract_y
_atom_site_fract_z
_atom_site_occupancy
Pr1 Pr 0.0293 0.0000 0.2500 1
Pr2 Pr 0.0899 0.5000 0.1089 1
Pr3 Pr 0.0897 0.5000 0.3911 1
Pr4 Pr 0.1364 0.0000 0.9639 1
Pr5 Pr 0.1365 0.0000 0.5361 1
Pr6 Pr 0.1831 0.5000 0.6756 1
Pr7 Pr 0.1829 0.5000 0.8245 1
Ga1 Ga 0.1969 0.5000 0.2498 1
S1 S 0.0000 0.5000 0.0000 1
S2 S 0.0000 0.5000 0.5000 1
S3 S 0.0473 0.0000 0.6416 1
S4 S 0.0471 0.0000 0.8584 1
S5 S 0.2263 0.0000 0.0709 1
S6 S 0.2261 0.0000 0.4291 1
```

=====

# 9
The following is a PBE calculation of crystalline Pr2GaS at its relaxed geometry, from Alexandria.

Calculated values
Size of the total moment in μB/cell: 0.00
N(E_F) in states/eV per atom: 0.544
Uncorrected energy in eV per atom: -5.491
E_form (uncorrected) in kJ/mol of formula units: -507
Mass density in g/cm³: 6.140
Energy above the lowest structure with this stoichiometry in meV per atom: 0

CIF file:
```
data_Pr2GaS
_chemical_formula_sum 'Pr8 Ga4 S4'
_symmetry_space_group_name_H-M 'C m c m'
_symmetry_Int_Tables_number 63
_symmetry_space_group_name_Hall '-C 2c 2'
_cell_length_a 4.3063
_cell_length_b 23.3445
_cell_length_c 4.1276
_cell_angle_alpha 90.00
_cell_angle_beta 90.00
_cell_angle_gamma 90.00
loop_
_atom_site_label
_atom_site_type_symbol
_atom_site_fract_x
_atom_site_fract_y
_atom_site_fract_z
_atom_site_occupancy
Pr1 Pr 0.0000 0.0697 0.2500 1
Pr2 Pr 0.0000 0.3139 0.2500 1
Ga1 Ga 0.0000 0.4634 0.2500 1
S1 S 0.0000 0.1919 0.2500 1
```

=====

# 10
The following is a PBE calculation of crystalline Pr3GaS at its relaxed geometry, from Alexandria.

Calculated values
Size of the total moment in μB/cell: 0.51
N(E_F) in states/eV per atom: 0.798
Uncorrected energy in eV per atom: -5.284
E_form (uncorrected) in kJ/mol of formula units: -475
Mass density in g/cm³: 5.887

CIF file:
```
data_Pr3GaS
_chemical_formula_sum 'Pr6 Ga2 S2'
_symmetry_space_group_name_H-M 'P 1 21/m 1'
_symmetry_Int_Tables_number 11
_symmetry_space_group_name_Hall '-P 2yb'
_cell_length_a 8.2120
_cell_length_b 4.1687
_cell_length_c 8.7560
_cell_angle_alpha 90.00
_cell_angle_beta 99.21
_cell_angle_gamma 90.00
loop_
_atom_site_label
_atom_site_type_symbol
_atom_site_fract_x
_atom_site_fract_y
_atom_site_fract_z
_atom_site_occupancy
Pr1 Pr 0.0736 0.2500 0.3174 1
Pr2 Pr 0.2976 0.2500 0.9698 1
Pr3 Pr 0.3938 0.7500 0.6299 1
Ga1 Ga 0.3404 0.7500 0.2412 1
S1 S 0.1566 0.2500 0.6457 1
```